A relaxed NaPrHg crystal. Source: the Alexandria database, functional GGA-PBE.

Mass density: 7.1 Mg/m³
Final energy: -2.2605 eV/atom

Cell and atoms, written as CIF:
```
data_NaPrHg
_cell_length_a 4.023
_cell_length_b 4.023
_cell_length_c 10.606
_cell_angle_alpha 90.00
_cell_angle_beta 90.00
_cell_angle_gamma 90.00
_symmetry_space_group_name_H-M 'I 4 m m'
_symmetry_Int_Tables_number 107
_symmetry_space_group_name_Hall 'I 4 -2'
loop_
_atom_site_label
_atom_site_fract_x
_atom_site_fract_y
_atom_site_fract_z
Na1 0.000 0.000 0.000
Pr1 0.000 0.000 0.307
Hg1 0.000 0.000 0.650
```



A relaxed LaIn crystal. Source: the Alexandria database, functional GGA-PBE.

Mass density: 6.7 Mg/m³
Final energy: -4.2340 eV/atom

Cell and atoms, written as CIF:
```
data_LaIn
_cell_length_a 5.010
_cell_length_b 11.021
_cell_length_c 6.823
_cell_angle_alpha 90.00
_cell_angle_beta 90.00
_cell_angle_gamma 90.00
_symmetry_space_group_name_H-M 'I m m 2'
_symmetry_Int_Tables_number 44
_symmetry_space_group_name_Hall 'I 2 -2'
loop_
_atom_site_label
_atom_site_fract_x
_atom_site_fract_y
_atom_site_fract_z
La1 0.000 0.000 0.000
La2 0.000 0.320 0.236
In1 0.000 0.000 0.498
In2 0.000 0.361 0.751
```



Please write out number 2 again, unchanged.
A relaxed LaIn crystal. Source: the Alexandria database, functional GGA-PBE.

Mass density: 6.7 Mg/m³
Final energy: -4.2340 eV/atom

Cell and atoms, written as CIF:
```
data_LaIn
_cell_length_a 5.010
_cell_length_b 11.021
_cell_length_c 6.823
_cell_angle_alpha 90.00
_cell_angle_beta 90.00
_cell_angle_gamma 90.00
_symmetry_space_group_name_H-M 'I m m 2'
_symmetry_Int_Tables_number 44
_symmetry_space_group_name_Hall 'I 2 -2'
loop_
_atom_site_label
_atom_site_fract_x
_atom_site_fract_y
_atom_site_fract_z
La1 0.000 0.000 0.000
La2 0.000 0.320 0.236
In1 0.000 0.000 0.498
In2 0.000 0.361 0.751
```



Among the records above, which one has the highest mass density?
NaPrHg



Which of these has the highest mass density?
NaPrHg



The highest mass density belongs to which entry?
NaPrHg